The following is a PBE calculation of Sn2BiSb after structural relaxation, from the Alexandria database.

Lattice parameters (Å, degrees): 4.7760 4.9282 4.9282 90.00 90.00 90.00
Last column: nearest neighbours and their distance in Å.
Positions (direct):
Bi1 0.5000 0.0000 0.0000  8 Sn 3.43, 4 Sb 3.48
Sb1 0.5000 0.5000 0.5000  8 Sn 3.43, 4 Bi 3.48
Sn1 0.0000 0.5000 0.0000  4 Bi 3.43, 4 Sb 3.43, 4 Sn 3.48
Sn2 0.0000 0.0000 0.5000  4 Bi 3.43, 4 Sb 3.43, 4 Sn 3.48

The calculation puts the total magnetization at 0.000 μB/atom. The value obtained for the electronic total energy is -15.53 eV per cell. The calculation puts the energy above the most stable polymorph in this dataset at 79.3 meV/atom. As for the crystal system: tetragonal. Its space group is P4/mmm (123).

=====

The following is a PBE calculation of LiMn2Te after structural relaxation, from the Alexandria database.

Lattice parameters (Å, degrees): 4.1783 3.9781 3.9781 90.00 90.00 90.00
Last column: nearest neighbours and their distance in Å.
Positions (direct):
Mn1 0.0000 0.5000 0.5000  4 Mn 2.81, 4 Li 2.88, 4 Te 2.88
Te1 0.5000 0.5000 0.0000  4 Li 2.81, 8 Mn 2.88
Li1 0.5000 0.0000 0.5000  4 Te 2.81, 8 Mn 2.88
Mn2 0.0000 0.0000 0.0000  4 Mn 2.81, 4 Te 2.88, 4 Li 2.88

The calculation puts the total magnetization at 1.824 μB/atom. The value obtained for the electronic total energy is -23.14 eV per cell. As for the crystal system: tetragonal. Its space group is P4/mmm (123).

=====

The following is a PBE calculation of Ho2CuH after structural relaxation, from the Alexandria database.

Lattice parameters (Å, degrees): 3.7390 3.7390 6.7304 73.87 73.87 60.00
Last column: nearest neighbours and their distance in Å.
Positions (direct):
H1 0.5000 0.5000 0.5000  6 Ho 2.56
Ho1 0.7617 0.7617 0.7150  3 H 2.56, 3 Cu 2.82
Ho2 0.2383 0.2383 0.2850  3 H 2.56, 3 Cu 2.82
Cu1 0.0000 0.0000 0.0000  6 Ho 2.82

The calculation puts the total magnetization at 0.002 μB/atom. The value obtained for the electronic total energy is -17.22 eV per cell. As for the crystal system: trigonal. Its space group is R-3m (166).

=====

> Which formula does entry 3 have?

Ho2CuH

=====

> Which value of electronic total energy does entry 1 give?

-15.53 eV per cell